[1]
DFT (GGA-PBEsol) results for a relaxed structure of Li2Sn2Au.

Summary:
Size of the total moment (Bohr magnetons per cell): 0.000
Crystal system: tetragonal
Formation energy from the elements (eV/atom): -0.09
Calculated volume (Å³/atom): 20.03

Unit cell a=3.856 b=3.856 c=7.265 alpha=105.39 beta=105.39 gamma=90.00
Fractional coordinates of all 5 atoms:
Au  0.000  0.000  0.000
Sn  0.400  0.400  0.800
Sn  0.600  0.600  0.200
Li  0.250  0.750  0.500
Li  0.750  0.250  0.500

***

[2]
DFT (GGA-PBEsol) results for a relaxed structure of Li2SnAu2.

Summary:
Size of the total moment (Bohr magnetons per cell): 0.000
Crystal system: tetragonal
Formation energy from the elements (eV/atom): -0.36
Calculated volume (Å³/atom): 16.53

Unit cell a=3.001 b=7.422 c=7.422 alpha=90.00 beta=90.00 gamma=90.00
Fractional coordinates of all 10 atoms:
Au  0.500  0.156  0.656
Au  0.500  0.656  0.844
Au  0.500  0.844  0.344
Au  0.500  0.344  0.156
Sn  0.000  0.000  0.000
Sn  0.000  0.500  0.500
Li  0.000  0.366  0.866
Li  0.000  0.866  0.634
Li  0.000  0.634  0.134
Li  0.000  0.134  0.366

***

[3]
DFT (GGA-PBEsol) results for a relaxed structure of SrLiAu2.

Summary:
Size of the total moment (Bohr magnetons per cell): 0.000
Crystal system: tetragonal
Formation energy from the elements (eV/atom): -0.56
Calculated volume (Å³/atom): 21.03

Unit cell a=3.534 b=3.534 c=6.737 alpha=90.00 beta=90.00 gamma=90.00
Fractional coordinates of all 4 atoms:
Sr  0.500  0.500  0.000
Au  0.000  0.000  0.296
Au  0.000  0.000  0.704
Li  0.500  0.500  0.500

***

[4]
DFT (GGA-PBEsol) results for a relaxed structure of SrLiAu2.

Summary:
Size of the total moment (Bohr magnetons per cell): 0.000
Crystal system: orthorhombic
Formation energy from the elements (eV/atom): -0.51
Calculated volume (Å³/atom): 22.68

Unit cell a=4.619 b=5.068 c=5.068 alpha=65.43 beta=62.89 gamma=62.89
Fractional coordinates of all 4 atoms:
Sr  0.000  0.500  0.500
Au  0.203  0.797  0.797
Au  0.797  0.203  0.203
Li  0.500  0.000  0.000

***

[5]
DFT (GGA-PBEsol) results for a relaxed structure of Sr2LiAu.

Summary:
Size of the total moment (Bohr magnetons per cell): 0.000
Crystal system: cubic
Formation energy from the elements (eV/atom): -0.32
Calculated volume (Å³/atom): 28.81

Unit cell a=5.462 b=5.462 c=5.462 alpha=60.00 beta=60.00 gamma=60.00
Fractional coordinates of all 4 atoms:
Sr  0.750  0.750  0.750
Sr  0.250  0.250  0.250
Au  0.000  0.000  0.000
Li  0.500  0.500  0.500

***

[6]
DFT (GGA-PBEsol) results for a relaxed structure of SrLiAu2.

Summary:
Size of the total moment (Bohr magnetons per cell): 0.000
Crystal system: trigonal
Formation energy from the elements (eV/atom): -0.62
Calculated volume (Å³/atom): 22.78

Unit cell a=4.504 b=4.504 c=5.801 alpha=67.16 beta=67.16 gamma=60.00
Fractional coordinates of all 4 atoms:
Sr  0.000  0.000  0.000
Au  0.206  0.206  0.381
Au  0.794  0.794  0.619
Li  0.500  0.500  0.500

***

[7]
DFT (GGA-PBEsol) results for a relaxed structure of Sr2LiAu.

Summary:
Size of the total moment (Bohr magnetons per cell): 0.000
Crystal system: orthorhombic
Formation energy from the elements (eV/atom): -0.39
Calculated volume (Å³/atom): 30.76

Unit cell a=4.562 b=4.535 c=6.371 alpha=90.00 beta=110.98 gamma=90.00
Fractional coordinates of all 4 atoms:
Sr  0.981  0.000  0.961
Sr  0.265  0.500  0.531
Au  0.688  0.000  0.376
Li  0.573  0.500  0.146

***

[8]
DFT (GGA-PBEsol) results for a relaxed structure of Sr3LiAu.

Summary:
Size of the total moment (Bohr magnetons per cell): 0.000
Crystal system: cubic
Formation energy from the elements (eV/atom): -0.24
Calculated volume (Å³/atom): 43.64

Unit cell a=6.020 b=6.020 c=6.020 alpha=90.00 beta=90.00 gamma=90.00
Fractional coordinates of all 5 atoms:
Sr  0.000  0.500  0.000
Sr  0.000  0.000  0.500
Sr  0.500  0.000  0.000
Au  0.000  0.000  0.000
Li  0.500  0.500  0.500

***

[9]
DFT (GGA-PBEsol) results for a relaxed structure of SrLi3Au.

Summary:
Size of the total moment (Bohr magnetons per cell): 0.000
Crystal system: cubic
Formation energy from the elements (eV/atom): -0.19
Calculated volume (Å³/atom): 24.66

Unit cell a=4.977 b=4.977 c=4.977 alpha=90.00 beta=90.00 gamma=90.00
Fractional coordinates of all 5 atoms:
Sr  0.500  0.500  0.500
Au  0.000  0.000  0.000
Li  0.000  0.500  0.000
Li  0.000  0.000  0.500
Li  0.500  0.000  0.000

***

[10]
DFT (GGA-PBEsol) results for a relaxed structure of SrLiAu2.

Summary:
Size of the total moment (Bohr magnetons per cell): 0.000
Crystal system: orthorhombic
Formation energy from the elements (eV/atom): -0.38
Calculated volume (Å³/atom): 21.99

Unit cell a=3.778 b=3.624 c=6.425 alpha=90.00 beta=90.00 gamma=90.00
Fractional coordinates of all 4 atoms:
Au  0.000  0.000  0.029
Au  0.500  0.500  0.279
Li  0.000  0.000  0.413
Sr  0.500  0.500  0.779

***

[11]
DFT (GGA-PBEsol) results for a relaxed structure of Sr2LiAu.

Summary:
Size of the total moment (Bohr magnetons per cell): 0.000
Crystal system: tetragonal
Formation energy from the elements (eV/atom): -0.35
Calculated volume (Å³/atom): 30.96

Unit cell a=3.855 b=3.855 c=8.334 alpha=90.00 beta=90.00 gamma=90.00
Fractional coordinates of all 4 atoms:
Sr  0.000  0.000  0.787
Sr  0.000  0.000  0.213
Au  0.500  0.500  0.000
Li  0.500  0.500  0.500

***

[12]
DFT (GGA-PBEsol) results for a relaxed structure of LiTaAu2.

Summary:
Size of the total moment (Bohr magnetons per cell): 0.000
Crystal system: orthorhombic
Formation energy from the elements (eV/atom): 0.02
Calculated volume (Å³/atom): 16.75

Unit cell a=2.747 b=2.747 c=9.331 alpha=90.00 beta=90.00 gamma=107.95
Fractional coordinates of all 4 atoms:
Au  0.000  0.000  0.999
Au  0.500  0.500  0.738
Li  0.000  0.000  0.517
Ta  0.500  0.500  0.246

***

[13]
DFT (GGA-PBEsol) results for a relaxed structure of LiTaAu2.

Summary:
Size of the total moment (Bohr magnetons per cell): 0.000
Crystal system: monoclinic
Formation energy from the elements (eV/atom): -0.19
Calculated volume (Å³/atom): 16.39

Unit cell a=2.766 b=4.957 c=5.006 alpha=96.01 beta=106.04 gamma=90.00
Fractional coordinates of all 4 atoms:
Au  0.997  0.042  0.995
Au  0.254  0.701  0.507
Li  0.509  0.553  0.017
Ta  0.740  0.205  0.480

***

[14]
DFT (GGA-PBEsol) results for a relaxed structure of LiTa2Au.

Summary:
Size of the total moment (Bohr magnetons per cell): 0.001
Crystal system: cubic
Formation energy from the elements (eV/atom): 0.36
Calculated volume (Å³/atom): 16.47

Unit cell a=4.533 b=4.533 c=4.533 alpha=60.00 beta=60.00 gamma=60.00
Fractional coordinates of all 4 atoms:
Au  0.500  0.500  0.500
Li  0.250  0.250  0.250
Ta  0.000  0.000  0.000
Ta  0.750  0.750  0.750

***

[15]
DFT (GGA-PBEsol) results for a relaxed structure of LiTaAu.

Summary:
Size of the total moment (Bohr magnetons per cell): 0.000
Crystal system: orthorhombic
Formation energy from the elements (eV/atom): 0.08
Calculated volume (Å³/atom): 16.62

Unit cell a=2.725 b=2.725 c=7.235 alpha=97.50 beta=97.50 gamma=107.84
Fractional coordinates of all 3 atoms:
Au  0.004  0.004  0.009
Li  0.658  0.658  0.316
Ta  0.338  0.338  0.676

***

[16]
DFT (GGA-PBEsol) results for a relaxed structure of LiTaAu2.

Summary:
Size of the total moment (Bohr magnetons per cell): 0.000
Crystal system: orthorhombic
Formation energy from the elements (eV/atom): -0.28
Calculated volume (Å³/atom): 16.28

Unit cell a=2.739 b=4.775 c=4.979 alpha=90.00 beta=90.00 gamma=90.00
Fractional coordinates of all 4 atoms:
Ta  0.500  0.500  0.178
Au  0.000  0.000  0.066
Au  0.000  0.500  0.673
Li  0.500  0.000  0.583

***

[17]
DFT (GGA-PBEsol) results for a relaxed structure of LiTa2Au.

Summary:
Size of the total moment (Bohr magnetons per cell): 0.000
Crystal system: tetragonal
Formation energy from the elements (eV/atom): 0.12
Calculated volume (Å³/atom): 15.99

Unit cell a=3.827 b=3.827 c=5.137 alpha=111.87 beta=111.87 gamma=90.00
Fractional coordinates of all 4 atoms:
Au  0.500  0.500  0.000
Li  0.000  0.000  0.000
Ta  0.750  0.250  0.500
Ta  0.250  0.750  0.500

***

[18]
DFT (GGA-PBEsol) results for a relaxed structure of LiTaAu.

Summary:
Size of the total moment (Bohr magnetons per cell): 0.000
Crystal system: orthorhombic
Formation energy from the elements (eV/atom): 0.09
Calculated volume (Å³/atom): 15.71

Unit cell a=2.717 b=4.248 c=4.799 alpha=116.27 beta=106.44 gamma=90.00
Fractional coordinates of all 3 atoms:
Au  0.001  0.001  0.002
Li  0.662  0.662  0.325
Ta  0.337  0.337  0.673

***

[19]
DFT (GGA-PBEsol) results for a relaxed structure of LiTa2Au.

Summary:
Size of the total moment (Bohr magnetons per cell): 0.000
Crystal system: trigonal
Formation energy from the elements (eV/atom): 0.25
Calculated volume (Å³/atom): 17.47

Unit cell a=2.839 b=2.839 c=10.144 alpha=81.96 beta=81.96 gamma=60.00
Fractional coordinates of all 4 atoms:
Au  0.500  0.500  0.500
Li  0.000  0.000  0.000
Ta  0.247  0.247  0.260
Ta  0.753  0.753  0.740

***

[20]
DFT (GGA-PBEsol) results for a relaxed structure of LiTbAu2.

Summary:
Size of the total moment (Bohr magnetons per cell): 0.000
Crystal system: cubic
Formation energy from the elements (eV/atom): -0.68
Calculated volume (Å³/atom): 19.39

Unit cell a=4.787 b=4.787 c=4.787 alpha=60.00 beta=60.00 gamma=60.00
Fractional coordinates of all 4 atoms:
Au  0.750  0.750  0.750
Au  0.250  0.250  0.250
Tb  0.000  0.000  0.000
Li  0.500  0.500  0.500

***

no.,DOS(E_F) (states/eV/cell)
1,1.228
2,2.282
3,0.962
4,1.292
5,3.548
6,1.054
7,2.644
8,2.982
9,2.570
10,1.894
11,2.782
12,2.248
13,2.102
14,4.766
15,1.899
16,1.813
17,3.942
18,1.076
19,2.842
20,2.716